[1]
Here is a geometry-optimized VTcW2 structure from Alexandria. Energies are from PBE-GGA.

The structure belongs to space group I-42d (No. 122); the cell edges are 7.066, 7.066 and 5.248 Å and the angles 90.00°, 90.00° and 90.00°. The asymmetric unit holds V at (0.000, 0.000, 0.000), Tc at (0.000, 0.000, 0.500) and W at (0.244, 0.250, 0.625).

The density is 13.09 Mg/m³. For the energy above the lowest structure with this stoichiometry, the calculation gives 904.3 meV/atom. Its formation energy is 0.807 eV per atom. For the density of states at the Fermi level, the calculation gives 16.56 states/eV/cell. The value obtained for the total energy is -10.541 eV per atom.

[2]
Here is a geometry-optimized V6TcW structure from Alexandria. Energies are from PBE-GGA.

The structure belongs to space group Amm2 (No. 38); the cell edges are 4.288, 6.074 and 8.527 Å and the angles 90.00°, 90.00° and 90.00°. The asymmetric unit holds V at (0.000, 0.000, 0.000), V at (0.000, 0.247, 0.247), V at (0.500, 0.000, 0.241), V at (0.500, 0.249, 0.497), Tc at (0.000, 0.000, 0.495) and W at (0.500, 0.000, 0.751).

The density is 8.78 Mg/m³. For the energy above the lowest structure with this stoichiometry, the calculation gives 0.0 meV/atom. Its formation energy is -0.140 eV per atom. For the density of states at the Fermi level, the calculation gives 23.81 states/eV/cell. The value obtained for the total energy is -9.894 eV per atom.

[3]
Here is a geometry-optimized V2Tc3W structure from Alexandria. Energies are from PBE-GGA.

The structure belongs to space group P4/mmm (No. 123); the cell edges are 3.063, 3.063 and 9.206 Å and the angles 90.00°, 90.00° and 90.00°. The asymmetric unit holds V at (0.000, 0.000, 0.162), Tc at (0.500, 0.500, 0.000), Tc at (0.500, 0.500, 0.325) and W at (0.000, 0.000, 0.500).

The density is 11.15 Mg/m³. Its formation energy is -0.244 eV per atom. For the density of states at the Fermi level, the calculation gives 3.72 states/eV/cell. The value obtained for the total energy is -10.625 eV per atom.

Look up the formation energy of the second one.
-0.140 eV per atom